## Nd7P4Se4 (GGA-PBE)

Data for Nd7P4Se4 after structural relaxation.

Its total magnetization is 0.620 μB per formula unit.

Cell: 14.6731 14.6731 7.4906 Å, 90.00 90.00 90.00°
Space group I4/mmm (No. 139)
One atom of each set of equivalent atoms:
Nd  0.0000  0.0000  0.2447 (multiplicity 4)
Nd  0.0000  0.2775  0.0000 (multiplicity 8)
Nd  0.0000  0.3612  0.5000 (multiplicity 8)
Nd  0.2085  0.2085  0.5000 (multiplicity 8)
P  0.1469  0.3531  0.2500 (multiplicity 16)
Se  0.0000  0.1662  0.5000 (multiplicity 8)
Se  0.1219  0.1219  0.0000 (multiplicity 8)

## Nd5PSe4 (GGA-PBE)

Data for Nd5PSe4 after structural relaxation.

Its total magnetization is 0.000 μB per formula unit.

Cell: 4.2102 4.2102 29.9912 Å, 90.00 90.00 90.00°
Space group I4/mmm (No. 139)
One atom of each set of equivalent atoms:
Nd  0.0000  0.0000  0.0000 (multiplicity 2)
Nd  0.0000  0.0000  0.2030 (multiplicity 4)
Nd  0.0000  0.0000  0.4057 (multiplicity 4)
P  0.0000  0.0000  0.5000 (multiplicity 2)
Se  0.0000  0.0000  0.1012 (multiplicity 4)
Se  0.0000  0.0000  0.3030 (multiplicity 4)

## Nd7PSe5 (GGA-PBE)

Data for Nd7PSe5 after structural relaxation.

Its total magnetization is 0.000 μB per formula unit.

Cell: 13.8399 4.1126 25.0420 Å, 90.00 90.01 90.00°
Space group Cm (No. 8)
One atom of each set of equivalent atoms:
Nd  0.0000  0.0000  0.0000 (multiplicity 2)
Nd  0.0192  0.5000  0.4152 (multiplicity 2)
Nd  0.0492  0.5000  0.8393 (multiplicity 2)
Nd  0.0853  0.0000  0.5609 (multiplicity 2)
Nd  0.1077  0.0000  0.6970 (multiplicity 2)
Nd  0.1829  0.5000  0.1970 (multiplicity 2)
Nd  0.2056  0.5000  0.0608 (multiplicity 2)
Nd  0.2416  0.0000  0.3394 (multiplicity 2)
Nd  0.2716  0.0000  0.9151 (multiplicity 2)
Nd  0.2908  0.5000  0.5002 (multiplicity 2)
Nd  0.3300  0.5000  0.7725 (multiplicity 2)
Nd  0.3527  0.0000  0.6313 (multiplicity 2)
Nd  0.4381  0.0000  0.1312 (multiplicity 2)
Nd  0.4606  0.5000  0.2726 (multiplicity 2)
P  0.0853  0.0000  0.1126 (multiplicity 2)
P  0.2055  0.5000  0.6128 (multiplicity 2)
Se  0.1023  0.5000  0.3056 (multiplicity 2)
Se  0.1307  0.5000  0.9514 (multiplicity 2)
Se  0.1602  0.0000  0.4515 (multiplicity 2)
Se  0.1884  0.0000  0.8055 (multiplicity 2)
Se  0.3253  0.0000  0.2315 (multiplicity 2)
Se  0.3520  0.0000  0.0247 (multiplicity 2)
Se  0.3761  0.5000  0.3828 (multiplicity 2)
Se  0.4147  0.5000  0.8826 (multiplicity 2)
Se  0.4389  0.0000  0.5248 (multiplicity 2)
Se  0.4654  0.0000  0.7315 (multiplicity 2)

## Nd4P3Se (GGA-PBE)

Data for Nd4P3Se after structural relaxation.

Its total magnetization is 0.000 μB per formula unit.

Cell: 8.3832 11.8245 4.1793 Å, 90.00 90.00 90.00°
Space group Cmmm (No. 65)
One atom of each set of equivalent atoms:
Nd  0.0000  0.2456  0.0000 (multiplicity 4)
Nd  0.2397  0.0000  0.5000 (multiplicity 4)
P  0.0000  0.0000  0.0000 (multiplicity 2)
P  0.2500  0.2500  0.5000 (multiplicity 4)
Se  0.0000  0.5000  0.0000 (multiplicity 2)

Electronic total energy (computed, eV/atom): -6.123 -6.129 -5.940 -6.528
DOS at the Fermi energy (computed, states/eV/atom): 0.22 0.52 0.63 0.17
Raw formation energy (computed, eV/atom): -1.527 -1.810 -1.617 -1.680